VASP calculation (PBE+U) on a geometry-optimized ZrSbMoO2 structure. Values from VASP.

Geometry as Quantum ESPRESSO input:
```
&SYSTEM
  ibrav = 0, nat = 5, ntyp = 4
/
ATOMIC_SPECIES
Zr 91.22 Zr.upf
Sb 121.76 Sb.upf
Mo 95.94 Mo.upf
O 16.00 O.upf
ATOMIC_POSITIONS crystal
Zr 0.000 0.000 0.000
Sb 0.500 0.500 0.500
Mo 0.000 0.000 0.500
O 0.000 0.500 0.000
O 0.500 0.000 0.000
CELL_PARAMETERS angstrom
4.038 0.000 0.000
0.000 4.038 0.000
0.000 0.000 7.489
```

Calculated total energy: -34.350 eV/f.u.